Entry 1:
The following is a SCAN calculation of a PBEsol-optimized structure of LiTi3Mo, from Alexandria via LeMat-Bulk.

Properties
Energy relative to the elements ... 0.77 eV/atom

a = 4.7431 Å, b = 4.7431 Å, c = 4.7431 Å
α = 90.00°, β = 90.00°, γ = 90.00°
Closest atoms and distances in Å follow each position.
Element x y z (fractional)
Ti (0.0000, 0.5000, 0.0000)  2 Mo 2.37
Ti (0.5000, 0.0000, 0.0000)  2 Mo 2.37
Ti (0.0000, 0.0000, 0.5000)  2 Mo 2.37
Li (0.5000, 0.5000, 0.5000)  12 Ti 3.35
Mo (0.0000, 0.0000, 0.0000)  6 Ti 2.37

=====

Entry 2:
The following is a SCAN calculation of a PBEsol-optimized structure of Li2YTiMo, from Alexandria via LeMat-Bulk.

Properties
Energy relative to the elements ... 1.18 eV/atom

a = 4.7956 Å, b = 4.7956 Å, c = 4.9512 Å
α = 90.00°, β = 90.00°, γ = 90.00°
Closest atoms and distances in Å follow each position.
Element x y z (fractional)
Li (0.0000, 0.5000, 0.0000)  2 Mo 2.40
Li (0.5000, 0.0000, 0.0000)  2 Mo 2.40
Y (0.0000, 0.0000, 0.5000)  2 Mo 2.48
Mo (0.0000, 0.0000, 0.0000)  4 Li 2.40, 2 Y 2.48
Ti (0.5000, 0.5000, 0.5000)  4 Y 3.39, 8 Li 3.45